TaTcMo4, single point on PBEsol structure, DFT SCAN; density = 11.47 g cm⁻³; formation energy from the elements = 0.289 eV per atom; E = -239.451 eV/cell; symmetry = No. 216
1.0
0.0000 3.6336 3.6336
3.6336 0.0000 3.6336
3.6336 3.6336 0.0000
Ta Tc Mo
1 1 4
direct
0.0000 0.0000 0.0000 Ta
0.2500 0.2500 0.2500 Tc
0.1225 0.6258 0.6258 Mo
0.6258 0.1225 0.6258 Mo
0.6258 0.6258 0.1225 Mo
0.6258 0.6258 0.6258 Mo